Here is a relaxed Pm3Ga2Pt7 crystal from Alexandria. Energies are from PBE.

Output
Crystal system: orthorhombic
Magnetization: 0.00 μB/f.u.
Total energy: -6.04 eV per atom
Theoretical density: 12.83 g cm⁻³

```
Pm3Ga2Pt7
1.0
2.071 -14.809 0.000
2.071 14.809 0.000
0.000 0.000 4.093
Pm Ga Pt
3 2 7
Cartesian
0.000 0.000 0.000
2.071 8.824 0.000
2.071 -8.824 0.000
2.071 2.455 2.047
2.071 -2.455 2.047
2.071 10.912 2.047
2.071 6.296 2.047
2.071 3.917 0.000
2.071 0.000 2.047
2.071 -3.917 0.000
2.071 -6.296 2.047
2.071 -10.912 2.047
```